A relaxed K2LaCo crystal. Source: Alexandria, functional PBE-GGA.

Results
E = -10.46 eV per formula unit
polymorph energy (0 for the lowest one) = 679 meV/atom
DOS(E_F) = 1.31 states/eV/atom

Cell: 7.159 7.159 3.655 Å, 90.00 90.00 130.91°
Fractional coordinates of all 4 atoms:
K1 0.000 0.500 0.000
K2 0.500 0.000 0.000
La1 0.000 0.000 0.500
Co1 0.500 0.500 0.500

A relaxed K2LaCo crystal. Source: Alexandria, functional PBE-GGA.

Results
E = -11.11 eV per formula unit
polymorph energy (0 for the lowest one) = 514 meV/atom
DOS(E_F) = 1.65 states/eV/atom

Cell: 7.481 7.481 4.394 Å, 106.00 106.00 132.45°
Fractional coordinates of all 4 atoms:
K1 0.000 0.500 0.000
K2 0.500 0.000 0.000
La1 0.000 0.000 0.500
Co1 0.500 0.500 0.500

A relaxed KLa2Co crystal. Source: Alexandria, functional PBE-GGA.

Results
E = -14.81 eV per formula unit
polymorph energy (0 for the lowest one) = 841 meV/atom
DOS(E_F) = 1.68 states/eV/atom

Cell: 5.439 5.439 5.439 Å, 60.00 60.00 60.00°
Fractional coordinates of all 4 atoms:
K1 0.000 0.000 0.000
La1 0.250 0.250 0.250
La2 0.500 0.500 0.500
Co1 0.750 0.750 0.750

A relaxed KLa2Co crystal. Source: Alexandria, functional PBE-GGA.

Results
E = -18.18 eV per formula unit
polymorph energy (0 for the lowest one) = 0 meV/atom
DOS(E_F) = 1.14 states/eV/atom

Cell: 10.882 10.882 10.882 Å, 21.85 21.85 21.85°
Fractional coordinates of all 4 atoms:
K1 0.000 0.000 0.000
La1 0.212 0.212 0.212
La2 0.788 0.788 0.788
Co1 0.500 0.500 0.500

A relaxed KLa2Co crystal. Source: Alexandria, functional PBE-GGA.

Results
E = -17.06 eV per formula unit
polymorph energy (0 for the lowest one) = 279 meV/atom
DOS(E_F) = 0.84 states/eV/atom

Cell: 8.101 8.101 8.101 Å, 119.99 119.99 90.01°
Fractional coordinates of all 8 atoms:
K1 0.000 0.000 0.000
K2 0.750 0.250 0.500
La1 0.374 0.125 0.749
La2 0.375 0.626 0.751
La3 0.376 0.625 0.251
La4 0.875 0.624 0.249
Co1 0.250 0.750 0.500
Co2 0.500 0.500 0.000

A relaxed KLa2Co crystal. Source: Alexandria, functional PBE-GGA.

Results
E = -17.40 eV per formula unit
polymorph energy (0 for the lowest one) = 194 meV/atom
DOS(E_F) = 1.35 states/eV/atom

Cell: 11.045 11.045 11.045 Å, 160.57 160.24 27.85°
Fractional coordinates of all 4 atoms:
K1 0.000 0.000 0.000
La1 0.316 0.816 0.500
La2 0.670 0.670 0.000
Co1 0.756 0.256 0.500

A relaxed K2LaCo crystal. Source: Alexandria, functional PBE-GGA.

Results
E = -10.47 eV per formula unit
polymorph energy (0 for the lowest one) = 676 meV/atom
DOS(E_F) = 1.92 states/eV/atom

Cell: 3.435 3.435 12.400 Å, 90.00 90.00 90.00°
Fractional coordinates of all 4 atoms:
K1 0.000 0.000 0.193
K2 0.000 0.000 0.807
La1 0.500 0.500 0.500
Co1 0.500 0.500 0.000

A relaxed KLa2Co crystal. Source: Alexandria, functional PBE-GGA.

Results
E = -14.89 eV per formula unit
polymorph energy (0 for the lowest one) = 821 meV/atom
DOS(E_F) = 1.72 states/eV/atom

Cell: 6.563 6.563 3.428 Å, 103.31 103.31 114.94°
Fractional coordinates of all 4 atoms:
K1 0.000 0.000 0.000
La1 0.000 0.500 0.500
La2 0.500 0.000 0.500
Co1 0.500 0.500 0.000

A relaxed KLa3Co crystal. Source: Alexandria, functional PBE-GGA.

Results
E = -22.38 eV per formula unit
DOS(E_F) = 0.49 states/eV/atom

Cell: 5.658 5.658 5.658 Å, 90.00 90.00 90.00°
Fractional coordinates of all 5 atoms:
K1 0.000 0.000 0.000
La1 0.000 0.500 0.500
La2 0.500 0.000 0.500
La3 0.500 0.500 0.000
Co1 0.500 0.500 0.500

A relaxed KLa2Co crystal. Source: Alexandria, functional PBE-GGA.

Results
E = -15.62 eV per formula unit
polymorph energy (0 for the lowest one) = 640 meV/atom
DOS(E_F) = 1.61 states/eV/atom

Cell: 5.399 5.399 5.399 Å, 60.00 60.00 60.00°
Fractional coordinates of all 4 atoms:
K1 0.000 0.000 0.000
La1 0.250 0.250 0.250
La2 0.750 0.750 0.750
Co1 0.500 0.500 0.500

A relaxed K2LaCo crystal. Source: Alexandria, functional PBE-GGA.

Results
E = -10.45 eV per formula unit
polymorph energy (0 for the lowest one) = 680 meV/atom
DOS(E_F) = 1.92 states/eV/atom

Cell: 13.043 13.043 13.043 Å, 15.92 15.92 15.92°
Fractional coordinates of all 4 atoms:
K1 0.235 0.235 0.235
K2 0.765 0.765 0.765
La1 0.000 0.000 0.000
Co1 0.500 0.500 0.500

A relaxed KLa2Co crystal. Source: Alexandria, functional PBE-GGA.

Results
E = -17.39 eV per formula unit
polymorph energy (0 for the lowest one) = 197 meV/atom
DOS(E_F) = 1.20 states/eV/atom

Cell: 3.989 3.989 10.041 Å, 90.00 90.00 90.00°
Fractional coordinates of all 4 atoms:
K1 0.000 0.000 0.000
La1 0.000 0.000 0.606
La2 0.500 0.500 0.349
Co1 0.500 0.500 0.585

ΔH_f (0 K) in eV per atom, matching the order above: 0.9433; 0.7784; 0.8115; -0.0299; 0.2492; 0.1646; 0.9408; 0.7915; 0.1209; 0.6102; 0.9451; 0.1671